No. 1
{"formula": "B4Ir5Ru2", "functional": "PBE", "state": "optimized geometry", "lattice": [[-1.655, 1.696, -1.414], [-5.463, -0.658, 5.604], [4.393, 4.244, 2.641]], "species": ["Ir", "Ir", "Ir", "Ir", "Ir", "B", "B", "B", "B", "Ru", "Ru"], "fractional_positions": [[0.156, 0.476, 0.313], [0.844, 0.524, 0.687], [0.190, 0.861, 0.379], [0.810, 0.139, 0.621], [0.500, 0.000, 0.000], [0.751, 0.709, 0.502], [0.936, 0.788, 0.872], [0.064, 0.212, 0.128], [0.249, 0.291, 0.498], [0.475, 0.331, 0.949], [0.525, 0.669, 0.051]], "sg": "C2/m", "magnetic_moment_mub_per_fu": 0.00, "e_tot_ev_per_atom": -8.122, "volume_a3_per_cell": 137}



No. 2
{"formula": "BIrRu2", "functional": "PBE", "state": "optimized geometry", "lattice": [[2.718, 0.000, 0.000], [0.000, 2.718, 0.000], [0.000, 0.000, 6.509]], "species": ["Ru", "Ru", "Ir", "B"], "fractional_positions": [[0.000, 0.000, 0.201], [0.000, 0.000, 0.799], [0.500, 0.500, 0.500], [0.500, 0.500, 0.000]], "sg": "P4/mmm", "magnetic_moment_mub_per_fu": 0.00, "e_tot_ev_per_atom": -8.577, "volume_a3_per_cell": 48}